# CuHSN2 | Alexandria via LeMat-Bulk | GGA-PBE | optimized geometry
# SG	P4/mmm, No. 123
data_CuHSN2
_chemical_formula_sum 'Cu1 H1 S1 N2'
_space_group_name_H-M_alt 'P 1'
_space_group_IT_number 1
_cell_length_a 3.768
_cell_length_b 3.768
_cell_length_c 3.138
_cell_angle_alpha 90.00
_cell_angle_beta 90.00
_cell_angle_gamma 90.00
loop_
_space_group_symop_operation_xyz
'x,y,z'
loop_
_atom_site_label
_atom_site_type_symbol
_atom_site_fract_x
_atom_site_fract_y
_atom_site_fract_z
H1 H 0.000 0.000 0.000
S1 S 0.000 0.000 0.500
Cu1 Cu 0.500 0.500 0.500
N1 N 0.000 0.500 0.000
N2 N 0.500 0.000 0.000


# CuHSeN2 | Alexandria via LeMat-Bulk | GGA-PBE | optimized geometry
# SG	P4/mmm, No. 123
data_CuHSeN2
_chemical_formula_sum 'Cu1 H1 Se1 N2'
_space_group_name_H-M_alt 'P 1'
_space_group_IT_number 1
_cell_length_a 3.841
_cell_length_b 3.841
_cell_length_c 3.322
_cell_angle_alpha 90.00
_cell_angle_beta 90.00
_cell_angle_gamma 90.00
loop_
_space_group_symop_operation_xyz
'x,y,z'
loop_
_atom_site_label
_atom_site_type_symbol
_atom_site_fract_x
_atom_site_fract_y
_atom_site_fract_z
H1 H 0.000 0.000 0.000
Cu1 Cu 0.500 0.500 0.500
Se1 Se 0.000 0.000 0.500
N1 N 0.000 0.500 0.000
N2 N 0.500 0.000 0.000


# CuHSeN2 | Alexandria via LeMat-Bulk | GGA-PBE | optimized geometry
# SG	P4/mmm, No. 123
data_CuHSeN2
_chemical_formula_sum 'Cu1 H1 Se1 N2'
_space_group_name_H-M_alt 'P 1'
_space_group_IT_number 1
_cell_length_a 3.627
_cell_length_b 3.627
_cell_length_c 5.673
_cell_angle_alpha 90.00
_cell_angle_beta 90.00
_cell_angle_gamma 90.00
loop_
_space_group_symop_operation_xyz
'x,y,z'
loop_
_atom_site_label
_atom_site_type_symbol
_atom_site_fract_x
_atom_site_fract_y
_atom_site_fract_z
H1 H 0.500 0.500 0.500
Cu1 Cu 0.000 0.000 0.000
Se1 Se 0.000 0.000 0.500
N1 N 0.000 0.500 0.000
N2 N 0.500 0.000 0.000


# CuHSe2N | Alexandria via LeMat-Bulk | GGA-PBE | optimized geometry
# SG	P4/mmm, No. 123
data_CuHSe2N
_chemical_formula_sum 'Cu1 H1 Se2 N1'
_space_group_name_H-M_alt 'P 1'
_space_group_IT_number 1
_cell_length_a 5.000
_cell_length_b 5.000
_cell_length_c 3.493
_cell_angle_alpha 90.00
_cell_angle_beta 90.00
_cell_angle_gamma 90.00
loop_
_space_group_symop_operation_xyz
'x,y,z'
loop_
_atom_site_label
_atom_site_type_symbol
_atom_site_fract_x
_atom_site_fract_y
_atom_site_fract_z
H1 H 0.500 0.500 0.500
Cu1 Cu 0.000 0.000 0.000
Se1 Se 0.000 0.500 0.000
Se2 Se 0.500 0.000 0.000
N1 N 0.000 0.000 0.500


Energy above the most stable polymorph in this dataset in kJ/mol of formula units, matching the order above: 0 39 0 208